A:
Compound: Ge2As2Au
Source: Alexandria
Functional: PBE
Structure: relaxed

Cell and atoms, written as POSCAR:
```
Ge2As2Au
1.0
-6.8897 -1.3955 2.6830
-0.1706 -6.4854 -3.8111
1.3951 -1.6405 2.7292
As Au Ge
4 2 4
Direct
0.1514 0.6514 0.5000
0.6514 0.8486 0.5000
0.8486 0.3486 0.5000
0.3486 0.1514 0.5000
0.0000 0.0000 0.0000
0.5000 0.5000 0.0000
0.3468 0.8468 0.0000
0.8468 0.6532 0.0000
0.6532 0.1532 0.0000
0.1532 0.3468 0.0000
```

**Calculated volume**: 19.68 Å³/atom
**Space group**: No. 127
**Total magnetic moment**: 0.000 μB/atom


B:
Compound: Ge2As2Au
Source: Alexandria
Functional: PBE
Structure: relaxed

Cell and atoms, written as POSCAR:
```
Ge2As2Au
1.0
-0.6035 -1.6204 3.9915
2.4884 -3.4212 -1.0126
5.6918 0.3733 3.3824
As Au Ge
2 1 2
Direct
0.3795 0.3795 0.2410
0.6205 0.6205 0.7590
0.0000 0.0000 0.0000
0.7500 0.2500 0.5000
0.2500 0.7500 0.5000
```

**Calculated volume**: 22.23 Å³/atom
**Space group**: No. 139
**Total magnetic moment**: 0.000 μB/atom


The structure with the most favorable energy is A; the runner-up is 2.4 kJ/mol of atoms above it.


A:
Compound: Ge2AsAu2
Source: Alexandria
Functional: PBE
Structure: relaxed

Cell and atoms, written as POSCAR:
```
Ge2AsAu2
1.0
7.9354 0.0000 0.0000
0.0000 7.9354 0.0000
0.0000 0.0000 3.1046
As Au Ge
2 4 4
Direct
0.0000 0.0000 0.0000
0.5000 0.5000 0.0000
0.3322 0.8322 0.0000
0.8322 0.6678 0.0000
0.6678 0.1678 0.0000
0.1678 0.3322 0.0000
0.1328 0.6328 0.5000
0.6328 0.8672 0.5000
0.8672 0.3672 0.5000
0.3672 0.1328 0.5000
```

**Calculated volume**: 19.55 Å³/atom
**Space group**: No. 127
**Total magnetic moment**: 0.000 μB/atom


B:
Compound: Ge2AsAu2
Source: Alexandria
Functional: PBE
Structure: relaxed

Cell and atoms, written as POSCAR:
```
Ge2AsAu2
1.0
7.9907 0.0000 0.0000
0.0000 7.9907 0.0000
0.0000 0.0000 3.1088
As Au Ge
2 4 4
Direct
0.0000 0.0000 0.0000
0.5000 0.5000 0.0000
0.1223 0.6223 0.5000
0.6223 0.8777 0.5000
0.8777 0.3777 0.5000
0.3777 0.1223 0.5000
0.3157 0.8157 0.0000
0.8157 0.6843 0.0000
0.6843 0.1843 0.0000
0.1843 0.3157 0.0000
```

**Calculated volume**: 19.85 Å³/atom
**Space group**: No. 127
**Total magnetic moment**: 0.000 μB/atom


The structure with the most favorable energy is A; the runner-up is 6.5 kJ/mol of atoms above it.


A:
Compound: GeAs2AuSe
Source: Alexandria
Functional: PBE
Structure: relaxed

Cell and atoms, written as POSCAR:
```
GeAs2AuSe
1.0
4.9884 0.0000 0.0000
0.0000 4.9884 0.0000
0.0000 0.0000 5.2227
As Au Ge Se
2 1 1 1
Direct
0.0000 0.5000 0.0000
0.5000 0.0000 0.0000
0.0000 0.0000 0.0000
0.5000 0.5000 0.5000
0.0000 0.0000 0.5000
```

**Calculated volume**: 25.99 Å³/atom
**Space group**: No. 123
**Total magnetic moment**: 0.151 μB/atom


B:
Compound: GeAs2AuSe
Source: Alexandria
Functional: PBE
Structure: relaxed

Cell and atoms, written as POSCAR:
```
GeAs2AuSe
1.0
-2.3182 1.6021 -4.0795
3.9880 -1.1433 -2.7152
-1.8000 -4.5054 -0.7465
As Au Ge Se
2 1 1 1
Direct
0.0000 0.5000 0.0000
0.5000 0.0000 0.0000
0.5000 0.5000 0.5000
0.0000 0.0000 0.0000
0.0000 0.0000 0.5000
```

**Calculated volume**: 24.13 Å³/atom
**Space group**: No. 123
**Total magnetic moment**: 0.000 μB/atom


The structure with the most favorable energy is A; the runner-up is 1.5 kJ/mol of atoms above it.


A:
Compound: As2HAu
Source: Alexandria
Functional: PBE
Structure: relaxed

Cell and atoms, written as POSCAR:
```
As2HAu
1.0
5.2625 0.0000 0.0000
0.0000 5.2625 0.0000
2.6312 2.6312 5.0276
H As Au
2 4 2
Direct
0.5000 0.5000 0.0000
0.2500 0.7500 0.5000
0.5241 0.1250 0.2500
0.2259 0.6250 0.2500
0.3750 0.4759 0.7500
0.8750 0.7741 0.7500
0.0000 0.0000 0.0000
0.7500 0.2500 0.5000
```

**Calculated volume**: 17.40 Å³/atom
**Space group**: No. 122
**Total magnetic moment**: 0.000 μB/atom


B:
Compound: As2HAu
Source: Alexandria
Functional: PBE
Structure: relaxed

Cell and atoms, written as POSCAR:
```
As2HAu
1.0
-0.6036 0.7803 4.3457
0.3285 4.1519 1.5849
-3.6474 2.1485 1.3924
H As Au
1 2 1
Direct
0.0000 0.0000 0.0000
0.2500 0.2500 0.2500
0.7500 0.7500 0.7500
0.5000 0.5000 0.5000
```

**Calculated volume**: 15.64 Å³/atom
**Space group**: No. 225
**Total magnetic moment**: 0.000 μB/atom


The structure with the most favorable energy is A; the runner-up is 2.6 kJ/mol of atoms above it.


A:
Compound: HfAs3Au
Source: Alexandria
Functional: PBE
Structure: relaxed

Cell and atoms, written as POSCAR:
```
HfAs3Au
1.0
-4.2139 0.4593 -2.8482
-2.8717 -0.1837 4.2190
0.2770 5.0829 0.4098
Hf As Au
1 3 1
Direct
0.0000 0.0000 0.0000
0.0000 0.5000 0.0000
0.0000 0.0000 0.5000
0.5000 0.0000 0.0000
0.5000 0.5000 0.5000
```

**Calculated volume**: 26.64 Å³/atom
**Space group**: No. 221
**Total magnetic moment**: 0.000 μB/atom


B:
Compound: HfAs3Au
Source: Alexandria
Functional: PBE
Structure: relaxed

Cell and atoms, written as POSCAR:
```
HfAs3Au
1.0
4.9375 0.0000 0.0000
0.0000 4.9375 0.0000
0.0000 0.0000 4.9375
Hf As Au
1 3 1
Direct
0.5000 0.5000 0.5000
0.0000 0.5000 0.0000
0.0000 0.0000 0.5000
0.5000 0.0000 0.0000
0.0000 0.0000 0.0000
```

**Calculated volume**: 24.07 Å³/atom
**Space group**: No. 221
**Total magnetic moment**: 0.000 μB/atom


The structure with the most favorable energy is A; the runner-up is 34.1 kJ/mol of atoms above it.


A:
Compound: HfAsAu3
Source: Alexandria
Functional: PBE
Structure: relaxed

Cell and atoms, written as POSCAR:
```
HfAsAu3
1.0
-3.7596 -3.0247 0.1834
2.5871 -3.0517 2.7039
-1.5778 2.2034 3.9965
Hf As Au
1 1 3
Direct
0.5000 0.5000 0.5000
0.0000 0.0000 0.0000
0.0000 0.5000 0.0000
0.0000 0.0000 0.5000
0.5000 0.0000 0.0000
```

**Calculated volume**: 22.52 Å³/atom
**Space group**: No. 221
**Total magnetic moment**: 0.000 μB/atom


B:
Compound: HfAsAu3
Source: Alexandria
Functional: PBE
Structure: relaxed

Cell and atoms, written as POSCAR:
```
HfAsAu3
1.0
5.1762 0.0000 0.0000
0.0000 5.1762 0.0000
0.0000 0.0000 5.1762
Hf As Au
1 1 3
Direct
0.0000 0.0000 0.0000
0.5000 0.5000 0.5000
0.0000 0.5000 0.0000
0.0000 0.0000 0.5000
0.5000 0.0000 0.0000
```

**Calculated volume**: 27.74 Å³/atom
**Space group**: No. 221
**Total magnetic moment**: 0.078 μB/atom


The structure with the most favorable energy is A; the runner-up is 34.5 kJ/mol of atoms above it.


A:
Compound: Hg2As2Au
Source: Alexandria
Functional: PBE
Structure: relaxed

Cell and atoms, written as POSCAR:
```
Hg2As2Au
1.0
-0.3742 -5.2052 -1.8587
-0.4195 -1.8308 5.2116
-5.4511 -3.0661 1.4284
As Au Hg
2 1 2
Direct
0.2419 0.2419 0.5163
0.7581 0.7581 0.4837
0.0000 0.0000 0.0000
0.7500 0.2500 0.5000
0.2500 0.7500 0.5000
```

**Calculated volume**: 31.18 Å³/atom
**Space group**: No. 139
**Total magnetic moment**: 0.000 μB/atom


B:
Compound: Hg2As2Au
Source: Alexandria
Functional: PBE
Structure: relaxed

Cell and atoms, written as POSCAR:
```
Hg2As2Au
1.0
-0.7386 6.4520 1.5903
-2.9327 -1.7524 5.7473
5.0542 -0.0531 2.5628
As Au Hg
4 2 4
Direct
0.3642 0.8642 0.0000
0.8642 0.6358 0.0000
0.6358 0.1358 0.0000
0.1358 0.3642 0.0000
0.0000 0.0000 0.0000
0.5000 0.5000 0.0000
0.3355 0.8355 0.5000
0.8355 0.6645 0.5000
0.6645 0.1645 0.5000
0.1645 0.3355 0.5000
```

**Calculated volume**: 25.33 Å³/atom
**Space group**: No. 127
**Total magnetic moment**: 0.000 μB/atom


C:
Compound: Hg2As2Au
Source: Alexandria
Functional: PBE
Structure: relaxed

Cell and atoms, written as POSCAR:
```
Hg2As2Au
1.0
3.6948 0.0000 0.0000
0.0000 3.6948 0.0000
1.8474 1.8474 8.4002
As Au Hg
2 1 2
Direct
0.7500 0.2500 0.5000
0.2500 0.7500 0.5000
0.0000 0.0000 0.0000
0.4076 0.4076 0.1848
0.5924 0.5924 0.8152
```

**Calculated volume**: 22.93 Å³/atom
**Space group**: No. 139
**Total magnetic moment**: 0.000 μB/atom


The structure with the most favorable energy is B; the runner-up is 11.9 kJ/mol of atoms above it.


A:
Compound: HgAs2Au
Source: Alexandria
Functional: PBE
Structure: relaxed

Cell and atoms, written as POSCAR:
```
HgAs2Au
1.0
-2.8023 -0.2978 -0.7757
-0.3175 -4.4596 2.8587
-1.4572 2.7912 4.1926
As Au Hg
2 1 1
Direct
0.0000 0.0000 0.0000
0.5000 0.5000 0.0000
0.5000 0.0000 0.5000
0.0000 0.5000 0.5000
```

**Calculated volume**: 20.33 Å³/atom
**Space group**: No. 47
**Total magnetic moment**: 0.000 μB/atom


B:
Compound: HgAs2Au
Source: Alexandria
Functional: PBE
Structure: relaxed

Cell and atoms, written as POSCAR:
```
HgAs2Au
1.0
3.9743 0.0000 0.0000
0.0000 3.9743 0.0000
0.0000 0.0000 5.5089
As Au Hg
2 1 1
Direct
0.0000 0.0000 0.1249
0.5000 0.5000 0.1252
0.0000 0.0000 0.6246
0.5000 0.5000 0.6253
```

**Calculated volume**: 21.75 Å³/atom
**Space group**: No. 123
**Total magnetic moment**: 0.000 μB/atom


The structure with the most favorable energy is B; the runner-up is 13.8 kJ/mol of atoms above it.